A plane-wave DFT calculation with PBE-GGA was carried out for Ho4GaCo2Ge4 after structural relaxation.

a b c (Å): 15.1989 4.2030 6.9077
angles (deg): 90.00 107.40 90.00
With the nearest neighbours (Å) after each atom.
Space group C2/m (No. 12)
Asymmetric unit:
Ho  0.0885  0.0000  0.3835 x4  3 Co 2.93-3.04, 6 Ge 2.94-3.11
Ho  0.1513  0.0000  0.9417 x4  5 Ge 2.88-3.01, 1 Co 3.03
Ga  0.0000  0.5000  0.0000 x2  4 Ge 2.81-3.12
Co  0.2204  0.5000  0.6286 x4  4 Ge 2.39-2.43
Ge  0.0672  0.5000  0.6630 x4  1 Co 2.41, 1 Ge 2.55
Ge  0.2053  0.5000  0.2679 x4  3 Co 2.39-2.43

Raw total energy = -0.4144 Ry/atom

A plane-wave DFT calculation with PBE-GGA was carried out for TbHo2Ga3CoGe2 after structural relaxation.

a b c (Å): 4.1271 12.0407 6.9445
angles (deg): 90.00 90.00 90.00
With the nearest neighbours (Å) after each atom.
Space group Amm2 (No. 38)
Asymmetric unit:
Tb  0.0000  0.0000  0.0000 x2  1 Co 2.78, 4 Ge 2.97
Ho  0.0000  0.1995  0.4011 x4  1 Co 2.77, 4 Ge 2.96
Ga  0.5000  0.0000  0.3722 x2  2 Co 2.60, 2 Ga 2.75, 2 Ge 2.76
Ga  0.5000  0.1144  0.7145 x4  2 Co 2.61, 2 Ge 2.75-2.76, 2 Ga 2.75-2.76
Co  0.0000  0.0000  0.5998 x2  6 Ga 2.60-2.61, 2 Ho 2.77, 1 Tb 2.78
Ge  0.5000  0.1672  0.1008 x4  3 Ga 2.75-2.76, 4 Ho 2.96, 2 Tb 2.97

Raw total energy = -0.3718 Ry/atom

A plane-wave DFT calculation with PBE-GGA was carried out for Tb2HoGa3CoGe2 after structural relaxation.

a b c (Å): 4.1402 12.0491 6.9671
angles (deg): 90.00 90.00 90.00
With the nearest neighbours (Å) after each atom.
Space group Amm2 (No. 38)
Asymmetric unit:
Tb  0.0000  0.1997  0.0000 x4  1 Co 2.78, 4 Ge 2.97
Ho  0.0000  0.0000  0.5987 x2  1 Co 2.77, 4 Ge 2.96
Ga  0.5000  0.0000  0.9710 x2  2 Co 2.62, 2 Ge 2.75, 2 Ga 2.76
Ga  0.5000  0.1141  0.3147 x4  2 Co 2.61, 2 Ga 2.75-2.76, 2 Ge 2.75-2.77
Co  0.0000  0.0000  0.2011 x2  6 Ga 2.61-2.62, 1 Ho 2.77, 2 Tb 2.78
Ge  0.5000  0.1658  0.6995 x4  3 Ga 2.75-2.77, 2 Ho 2.96, 4 Tb 2.97

Raw total energy = -0.3723 Ry/atom

A plane-wave DFT calculation with PBE-GGA was carried out for HoTm2Ga3CoGe2 after structural relaxation.

a b c (Å): 4.1034 11.9719 6.8978
angles (deg): 90.00 90.00 90.00
With the nearest neighbours (Å) after each atom.
Space group Amm2 (No. 38)
Asymmetric unit:
Ho  0.0000  0.0000  0.0000 x2  1 Co 2.77, 4 Ge 2.95
Tm  0.0000  0.1997  0.4004 x4  1 Co 2.75, 4 Ge 2.94
Ga  0.5000  0.0000  0.3705 x2  2 Co 2.58, 2 Ge 2.74, 2 Ga 2.74
Ga  0.5000  0.1149  0.7140 x4  2 Co 2.60, 2 Ge 2.72-2.74, 2 Ga 2.74-2.75
Co  0.0000  0.0000  0.5981 x2  6 Ga 2.58-2.60, 2 Tm 2.75, 1 Ho 2.77
Ge  0.5000  0.1677  0.1001 x4  3 Ga 2.72-2.74, 4 Tm 2.94, 2 Ho 2.95

Raw total energy = -0.3691 Ry/atom

A plane-wave DFT calculation with PBE-GGA was carried out for Ho2TmGa3CoGe2 after structural relaxation.

a b c (Å): 4.1071 11.9555 6.9175
angles (deg): 90.00 90.00 90.00
With the nearest neighbours (Å) after each atom.
Space group Amm2 (No. 38)
Asymmetric unit:
Ho  0.0000  0.1998  0.0000 x4  1 Co 2.77, 4 Ge 2.95
Tm  0.0000  0.0000  0.5990 x2  1 Co 2.75, 4 Ge 2.94
Ga  0.5000  0.0000  0.9706 x2  2 Co 2.60, 2 Ge 2.73, 2 Ga 2.75
Ga  0.5000  0.1144  0.3154 x4  2 Co 2.59, 2 Ge 2.73-2.75, 2 Ga 2.74-2.75
Co  0.0000  0.0000  0.2019 x2  6 Ga 2.59-2.60, 1 Tm 2.75, 2 Ho 2.77
Ge  0.5000  0.1656  0.6997 x4  3 Ga 2.73-2.75, 2 Tm 2.94, 4 Ho 2.95

Raw total energy = -0.3702 Ry/atom

A plane-wave DFT calculation with PBE-GGA was carried out for MgGaCoGe after structural relaxation.

a b c (Å): 6.2662 6.2662 6.2662
angles (deg): 90.00 90.00 90.00
With the nearest neighbours (Å) after each atom.
Space group F-43m (No. 216)
Asymmetric unit:
Mg  0.0000  0.0000  0.0000 x4  4 Co 2.71, 4 Ga 2.71
Ga  0.2500  0.2500  0.7500 x4  4 Ge 2.71, 4 Mg 2.71
Co  0.2500  0.2500  0.2500 x4  4 Ge 2.71, 4 Mg 2.71
Ge  0.0000  0.0000  0.5000 x4  4 Co 2.71, 4 Ga 2.71

Raw total energy = -0.2859 Ry/atom

A plane-wave DFT calculation with PBE-GGA was carried out for MgGaCoGe after structural relaxation.

a b c (Å): 6.1876 6.1876 6.1876
angles (deg): 90.00 90.00 90.00
With the nearest neighbours (Å) after each atom.
Space group F-43m (No. 216)
Asymmetric unit:
Mg  0.0000  0.0000  0.0000 x4  4 Ge 2.68, 4 Ga 2.68
Ga  0.2500  0.2500  0.7500 x4  4 Co 2.68, 4 Mg 2.68
Co  0.0000  0.0000  0.5000 x4  4 Ge 2.68, 4 Ga 2.68
Ge  0.2500  0.2500  0.2500 x4  4 Co 2.68, 4 Mg 2.68

Raw total energy = -0.2971 Ry/atom

A plane-wave DFT calculation with PBE-GGA was carried out for GaCoSi17Ge13 after structural relaxation.

a b c (Å): 5.5810 3.9217 31.4401
angles (deg): 90.00 90.05 90.00
With the nearest neighbours (Å) after each atom.
Space group Pm (No. 6)
Asymmetric unit:
Ga  0.0000  0.0000  0.0000 x1  1 Co 2.34, 1 Si 2.46, 2 Ge 2.59
Co  0.7559  0.0000  0.0604 x1  3 Si 2.22-2.23, 1 Ga 2.34
Si  0.0050  0.0000  0.1154 x1  1 Co 2.22, 1 Si 2.40, 2 Ge 2.45
Si  0.0164  0.0000  0.3716 x1  1 Si 2.36, 3 Ge 2.41
Si  0.0259  0.0000  0.6218 x1  3 Si 2.36-2.38, 1 Ge 2.41
Si  0.2680  0.5000  0.6222 x1  3 Si 2.37-2.38, 1 Ge 2.42
Si  0.2791  0.5000  0.4942 x1  1 Si 2.36, 3 Ge 2.41
Si  0.2802  0.5000  0.2424 x1  1 Si 2.36, 3 Ge 2.41-2.42
Si  0.2799  0.5000  0.7436 x1  2 Si 2.36-2.37, 2 Ge 2.41
Si  0.5162  0.5000  0.8059 x1  1 Si 2.36, 3 Ge 2.41-2.42
Si  0.5253  0.5000  0.1813 x1  3 Si 2.36-2.38, 1 Ge 2.44
Si  0.5259  0.5000  0.6822 x1  4 Si 2.37-2.38
Si  0.5267  0.5000  0.9328 x1  2 Si 2.37, 2 Ge 2.41-2.42
Si  0.5277  0.5000  0.4335 x1  3 Si 2.36-2.37, 1 Ge 2.42
Si  0.5641  0.5000  0.0609 x1  2 Co 2.23, 2 Ge 2.44-2.45
Si  0.7649  0.0000  0.9338 x1  2 Si 2.37, 1 Ge 2.41, 1 Ga 2.46
Si  0.7674  0.0000  0.4321 x1  3 Si 2.36-2.37, 1 Ge 2.42
Si  0.7681  0.0000  0.1791 x1  3 Si 2.38-2.40, 1 Ge 2.44
Si  0.7683  0.0000  0.6813 x1  3 Si 2.36-2.38, 1 Ge 2.42
Ge  0.0153  0.0000  0.8715 x1  1 Si 2.41, 3 Ge 2.45-2.47
Ge  0.0272  0.0000  0.2418 x1  3 Si 2.42-2.44, 1 Ge 2.48
Ge  0.0274  0.0000  0.4936 x1  3 Si 2.41-2.42, 1 Ge 2.47
Ge  0.0274  0.0000  0.7430 x1  3 Si 2.41-2.42, 1 Ge 2.47
Ge  0.2674  0.5000  0.3720 x1  3 Si 2.41-2.42, 1 Ge 2.48
Ge  0.2681  0.5000  0.1183 x1  4 Si 2.44-2.45
Ge  0.2780  0.5000  0.8700 x1  2 Si 2.41-2.42, 2 Ge 2.45
Ge  0.3022  0.5000  0.9988 x1  2 Si 2.42-2.44, 2 Ga 2.59
Ge  0.5140  0.5000  0.5586 x1  2 Si 2.41-2.42, 2 Ge 2.46
Ge  0.5154  0.5000  0.3067 x1  1 Si 2.41, 3 Ge 2.45-2.48
Ge  0.7672  0.0000  0.8065 x1  2 Si 2.41, 2 Ge 2.47
Ge  0.7793  0.0000  0.5588 x1  1 Si 2.41, 3 Ge 2.46-2.47
Ge  0.7800  0.0000  0.3074 x1  1 Si 2.41, 3 Ge 2.45-2.48

Raw total energy = -0.3684 Ry/atom

A plane-wave DFT calculation with PBE-GGA was carried out for Tm3Ga3Co2Ge after structural relaxation.

a b c (Å): 7.0995 7.0995 3.7599
angles (deg): 90.00 90.00 120.00
With the nearest neighbours (Å) after each atom.
Space group P-62m (No. 189)
Asymmetric unit:
Tm  0.0000  0.5965  0.0000 x3  4 Co 2.86, 1 Ge 2.86, 6 Ga 2.94-3.16
Ga  0.0000  0.2788  0.5000 x3  2 Co 2.58, 2 Ge 2.73
Co  0.3333  0.6667  0.5000 x2  3 Ga 2.58, 6 Tm 2.86
Ge  0.0000  0.0000  0.0000 x1  6 Ga 2.73, 3 Tm 2.86

Raw total energy = -0.3744 Ry/atom

A plane-wave DFT calculation with PBE-GGA was carried out for Tm4GaCo2Ge4 after structural relaxation.

a b c (Å): 15.0630 4.1905 6.8374
angles (deg): 90.00 107.39 90.00
With the nearest neighbours (Å) after each atom.
Space group C2/m (No. 12)
Asymmetric unit:
Tm  0.0887  0.0000  0.3862 x4  3 Co 2.91-3.03, 6 Ge 2.92-3.08
Tm  0.1514  0.0000  0.9417 x4  5 Ge 2.85-2.99, 1 Co 2.96
Ga  0.0000  0.5000  0.0000 x2  4 Ge 2.76-3.07
Co  0.2210  0.5000  0.6336 x4  4 Ge 2.38-2.44
Ge  0.0667  0.5000  0.6651 x4  1 Co 2.40, 1 Ge 2.54
Ge  0.2038  0.5000  0.2670 x4  3 Co 2.38-2.44

Raw total energy = -0.4112 Ry/atom

A plane-wave DFT calculation with PBE-GGA was carried out for HfGa2Co after structural relaxation.

a b c (Å): 6.2483 6.2483 6.2483
angles (deg): 90.00 90.00 90.00
With the nearest neighbours (Å) after each atom.
Space group F-43m (No. 216)
Asymmetric unit:
Hf  0.0000  0.0000  0.0000 x4  4 Co 2.71, 4 Ga 2.71
Ga  0.0000  0.0000  0.5000 x4  4 Ga 2.71, 4 Co 2.71
Ga  0.2500  0.2500  0.7500 x4  4 Hf 2.71, 4 Ga 2.71
Co  0.2500  0.2500  0.2500 x4  4 Hf 2.71, 4 Ga 2.71

Raw total energy = -0.4398 Ry/atom

A plane-wave DFT calculation with PBE-GGA was carried out for HfGa2Co after structural relaxation.

a b c (Å): 6.2493 6.2493 6.2493
angles (deg): 90.00 90.00 90.00
With the nearest neighbours (Å) after each atom.
Space group F-43m (No. 216)
Asymmetric unit:
Hf  0.0000  0.0000  0.0000 x4  4 Co 2.71, 4 Ga 2.71
Ga  0.0000  0.0000  0.5000 x4  4 Co 2.71, 4 Ga 2.71
Ga  0.2500  0.2500  0.2500 x4  4 Hf 2.71, 4 Ga 2.71
Co  0.2500  0.2500  0.7500 x4  4 Hf 2.71, 4 Ga 2.71

Raw total energy = -0.4398 Ry/atom

A plane-wave DFT calculation with PBE-GGA was carried out for Hf6Ga16Co7 after structural relaxation.

a b c (Å): 12.0072 12.0072 12.0072
angles (deg): 90.00 90.00 90.00
With the nearest neighbours (Å) after each atom.
Space group Fm-3m (No. 225)
Asymmetric unit:
Hf  0.0000  0.0000  0.1951 x24  8 Ga 2.74-3.02
Ga  0.1209  0.1209  0.3791 x32  4 Co 2.51-2.63, 3 Ga 2.72
Ga  0.1593  0.1593  0.1593 x32  3 Co 2.46, 3 Ga 2.72, 3 Hf 2.74
Co  0.0000  0.0000  0.5000 x4  8 Ga 2.51
Co  0.0000  0.2500  0.2500 x24  8 Ga 2.46-2.63

Raw total energy = -0.4298 Ry/atom

A plane-wave DFT calculation with PBE-GGA was carried out for HfGa2Co after structural relaxation.

a b c (Å): 12.2314 12.2314 8.1207
angles (deg): 90.00 90.00 90.00
With the nearest neighbours (Å) after each atom.
Space group I4mm (No. 107)
Asymmetric unit:
Hf  0.0000  0.0000  0.0000 x2  4 Co 2.65, 4 Ga 2.92
Hf  0.0000  0.0000  0.4656 x2  8 Ga 2.87-2.98, 4 Co 2.87
Hf  0.0000  0.2806  0.3944 x8  2 Co 2.71, 7 Ga 2.79-3.01
Hf  0.2004  0.2004  0.8834 x8  4 Co 2.68-2.89, 6 Ga 2.83-2.89
Ga  0.0000  0.1624  0.7201 x8  3 Co 2.48-2.61
Ga  0.0000  0.3838  0.8693 x8  3 Co 2.44-2.48, 2 Ga 2.67
Ga  0.1310  0.1310  0.2274 x8  3 Co 2.49-2.57
Ga  0.1408  0.3515  0.1320 x16  3 Co 2.50-2.53, 2 Ga 2.67-2.77
Co  0.0000  0.2159  0.0313 x8  6 Ga 2.44-2.61, 1 Hf 2.65
Co  0.0000  0.5000  0.1192 x4  8 Ga 2.48-2.50
Co  0.1623  0.1623  0.5366 x8  5 Ga 2.48-2.57, 3 Hf 2.68-2.71

Raw total energy = -0.4624 Ry/atom

A plane-wave DFT calculation with PBE-GGA was carried out for Hf6Ga2Co after structural relaxation.

a b c (Å): 7.7599 7.7599 3.3186
angles (deg): 90.00 90.00 120.00
With the nearest neighbours (Å) after each atom.
Space group P-62m (No. 189)
Asymmetric unit:
Hf  0.0000  0.2499  0.0000 x3  2 Co 2.55
Hf  0.0000  0.5988  0.5000 x3  4 Ga 2.89, 1 Co 3.11, 6 Hf 3.18-3.19
Ga  0.3333  0.6667  0.0000 x2  9 Hf 2.89-2.96
Co  0.0000  0.0000  0.5000 x1  6 Hf 2.55

Raw total energy = -0.6238 Ry/atom

A plane-wave DFT calculation with PBE-GGA was carried out for Hf3Ga3Co2Ir after structural relaxation.

a b c (Å): 6.9697 6.9697 3.4000
angles (deg): 90.00 90.00 120.00
With the nearest neighbours (Å) after each atom.
Space group P-62m (No. 189)
Asymmetric unit:
Hf  0.0000  0.5969  0.0000 x3  4 Co 2.72, 1 Ir 2.81, 6 Ga 2.81-3.01
Ga  0.0000  0.2755  0.5000 x3  2 Co 2.55, 2 Ir 2.56, 2 Hf 2.81
Co  0.3333  0.6667  0.5000 x2  3 Ga 2.55, 6 Hf 2.72
Ir  0.0000  0.0000  0.0000 x1  6 Ga 2.56, 3 Hf 2.81

Raw total energy = -0.5521 Ry/atom

A plane-wave DFT calculation with PBE-GGA was carried out for Li2HfZrGa2Co2 after structural relaxation.

a b c (Å): 4.2984 4.2984 6.0790
angles (deg): 90.00 90.00 90.00
With the nearest neighbours (Å) after each atom.
Space group P-4m2 (No. 115)
Asymmetric unit:
Li  0.0000  0.5000  0.2500 x2  2 Hf 2.63, 4 Ga 2.63, 2 Zr 2.63
Hf  0.0000  0.0000  0.0000 x1  4 Co 2.63, 4 Li 2.63
Zr  0.5000  0.5000  0.5000 x1  4 Li 2.63, 4 Co 2.64
Ga  0.0000  0.0000  0.5000 x1  4 Li 2.63, 4 Co 2.64
Ga  0.5000  0.5000  0.0000 x1  4 Co 2.63, 4 Li 2.63
Co  0.0000  0.5000  0.7520 x2  2 Hf 2.63, 4 Ga 2.63-2.64, 2 Zr 2.64

Raw total energy = -0.4168 Ry/atom

A plane-wave DFT calculation with PBE-GGA was carried out for HfGaCoMo after structural relaxation.

a b c (Å): 6.2759 6.2759 6.2759
angles (deg): 90.00 90.00 90.00
With the nearest neighbours (Å) after each atom.
Space group F-43m (No. 216)
Asymmetric unit:
Hf  0.0000  0.0000  0.0000 x4  4 Mo 2.72, 4 Co 2.72
Ga  0.0000  0.0000  0.5000 x4  4 Mo 2.72, 4 Co 2.72
Co  0.2500  0.2500  0.7500 x4  4 Hf 2.72, 4 Ga 2.72
Mo  0.2500  0.2500  0.2500 x4  4 Hf 2.72, 4 Ga 2.72

Raw total energy = -0.5703 Ry/atom

A plane-wave DFT calculation with PBE-GGA was carried out for HfGaCoPd after structural relaxation.

a b c (Å): 6.3029 6.3029 6.3029
angles (deg): 90.00 90.00 90.00
With the nearest neighbours (Å) after each atom.
Space group F-43m (No. 216)
Asymmetric unit:
Hf  0.0000  0.0000  0.0000 x4  4 Pd 2.73, 4 Ga 2.73
Ga  0.2500  0.2500  0.2500 x4  4 Hf 2.73, 4 Co 2.73
Co  0.0000  0.0000  0.5000 x4  4 Pd 2.73, 4 Ga 2.73
Pd  0.2500  0.2500  0.7500 x4  4 Hf 2.73, 4 Co 2.73

Raw total energy = -0.4834 Ry/atom

A plane-wave DFT calculation with PBE-GGA was carried out for HfGaCoPd after structural relaxation.

a b c (Å): 6.2363 6.2363 6.2363
angles (deg): 90.00 90.00 90.00
With the nearest neighbours (Å) after each atom.
Space group F-43m (No. 216)
Asymmetric unit:
Hf  0.0000  0.0000  0.0000 x4  4 Co 2.70, 4 Pd 2.70
Ga  0.0000  0.0000  0.5000 x4  4 Co 2.70, 4 Pd 2.70
Co  0.2500  0.2500  0.7500 x4  4 Hf 2.70, 4 Ga 2.70
Pd  0.2500  0.2500  0.2500 x4  4 Hf 2.70, 4 Ga 2.70

Raw total energy = -0.5038 Ry/atom